A geometry-optimized Be2FeH5 structure. Source: the Alexandria database, functional GGA-PBE.

Computed properties:
Its raw total energy is -4.127 eV/atom. The calculation puts the density of states at the Fermi level at 1.72 states/eV/f.u. For the volume, the calculation gives 95.5 Å³ per cell.

a = 6.178 Å, b = 5.640 Å, c = 3.196 Å
α = 90.00°, β = 120.99°, γ = 90.00°
Space group Cm (No. 8)
Unique sites:
Be 0.000 0.209 0.000 (multiplicity 4)
Fe 0.300 0.500 0.301 (multiplicity 2)
H 0.091 0.000 0.595 (multiplicity 2)
H 0.239 0.500 0.740 (multiplicity 2)
H 0.317 0.222 0.318 (multiplicity 4)
H 0.498 0.000 0.000 (multiplicity 2)



A geometry-optimized BeFeH2 structure. Source: the Alexandria database, functional GGA-PBE.

Computed properties:
The energy above the lowest structure with this stoichiometry comes out at 0.048 eV per atom. The calculation puts the density of states at the Fermi level at 1.80 states/eV/f.u. For the volume, the calculation gives 79.1 Å³ per cell.

a = 2.7119 Å, b = 2.7119 Å, c = 12.4159 Å
α = 90.00°, β = 90.00°, γ = 120.00°
Space group R-3m (No. 166, hexagonal axes)
Unique sites:
Be 0.0000 0.0000 0.0000 (multiplicity 3)
Fe 0.0000 0.0000 0.5000 (multiplicity 3)
H 0.0000 0.0000 0.1190 (multiplicity 6)



A geometry-optimized BeFeH3 structure. Source: the Alexandria database, functional GGA-PBE.

Computed properties:
The energy above the lowest structure with this stoichiometry comes out at 0.213 eV per atom. The calculation puts the density of states at the Fermi level at 0.52 states/eV/f.u. For the volume, the calculation gives 26.5 Å³ per cell.

a = 2.980 Å, b = 2.980 Å, c = 2.980 Å
α = 90.00°, β = 90.00°, γ = 90.00°
Space group Pm-3m (No. 221)
Unique sites:
Be 0.000 0.000 0.000 (multiplicity 1)
Fe 0.500 0.500 0.500 (multiplicity 1)
H 0.000 0.000 0.500 (multiplicity 3)



A geometry-optimized Be2FeH structure. Source: the Alexandria database, functional GGA-PBE.

Computed properties:
The energy above the lowest structure with this stoichiometry comes out at 0.000 eV per atom. The calculation puts the density of states at the Fermi level at 2.00 states/eV/f.u. For the volume, the calculation gives 121.8 Å³ per cell.

a = 4.423 Å, b = 4.423 Å, c = 6.228 Å
α = 90.00°, β = 90.00°, γ = 90.00°
Space group I-42d (No. 122)
Unique sites:
Be 0.033 0.250 0.125 (multiplicity 8)
Fe 0.000 0.000 0.500 (multiplicity 4)
H 0.000 0.000 0.000 (multiplicity 4)



A geometry-optimized Be2FeH structure. Source: the Alexandria database, functional GGA-PBE.

Computed properties:
The energy above the lowest structure with this stoichiometry comes out at 0.454 eV per atom. The calculation puts the density of states at the Fermi level at 2.17 states/eV/f.u. For the volume, the calculation gives 126.1 Å³ per cell.

a = 5.015 Å, b = 5.015 Å, c = 5.015 Å
α = 90.00°, β = 90.00°, γ = 90.00°
Space group Fm-3m (No. 225)
Unique sites:
Be 0.250 0.250 0.250 (multiplicity 8)
Fe 0.000 0.000 0.000 (multiplicity 4)
H 0.000 0.000 0.500 (multiplicity 4)



A geometry-optimized BeFeH3 structure. Source: the Alexandria database, functional GGA-PBE.

Computed properties:
The energy above the lowest structure with this stoichiometry comes out at 0.000 eV per atom. The calculation puts the density of states at the Fermi level at 1.95 states/eV/f.u. For the volume, the calculation gives 29.3 Å³ per cell.

a = 3.083 Å, b = 3.083 Å, c = 3.083 Å
α = 90.00°, β = 90.00°, γ = 90.00°
Space group Pm-3m (No. 221)
Unique sites:
Be 0.000 0.000 0.000 (multiplicity 1)
Fe 0.500 0.500 0.500 (multiplicity 1)
H 0.000 0.500 0.500 (multiplicity 3)



A geometry-optimized BeFe2HIr structure. Source: the Alexandria database, functional GGA-PBE.

Computed properties:
The energy above the lowest structure with this stoichiometry comes out at 0.000 eV per atom. The calculation puts the density of states at the Fermi level at 4.00 states/eV/f.u. For the volume, the calculation gives 48.9 Å³ per cell.

a = 3.516 Å, b = 3.516 Å, c = 3.956 Å
α = 90.00°, β = 90.00°, γ = 90.00°
Space group P4/mmm (No. 123)
Unique sites:
Be 0.000 0.000 0.000 (multiplicity 1)
Fe 0.000 0.500 0.500 (multiplicity 2)
H 0.000 0.000 0.500 (multiplicity 1)
Ir 0.500 0.500 0.000 (multiplicity 1)



A geometry-optimized BeFe2HIr structure. Source: the Alexandria database, functional GGA-PBE.

Computed properties:
The energy above the lowest structure with this stoichiometry comes out at 0.005 eV per atom. The calculation puts the density of states at the Fermi level at 3.31 states/eV/f.u. For the volume, the calculation gives 50.1 Å³ per cell.

a = 3.593 Å, b = 3.593 Å, c = 3.879 Å
α = 90.00°, β = 90.00°, γ = 90.00°
Space group P4/mmm (No. 123)
Unique sites:
Be 0.000 0.000 0.000 (multiplicity 1)
Fe 0.000 0.500 0.500 (multiplicity 2)
H 0.500 0.500 0.500 (multiplicity 1)
Ir 0.500 0.500 0.000 (multiplicity 1)



Please write out number 1 again, unchanged.
A geometry-optimized Be2FeH5 structure. Source: the Alexandria database, functional GGA-PBE.

Computed properties:
Its raw total energy is -4.127 eV/atom. The calculation puts the density of states at the Fermi level at 1.72 states/eV/f.u. For the volume, the calculation gives 95.5 Å³ per cell.

a = 6.178 Å, b = 5.640 Å, c = 3.196 Å
α = 90.00°, β = 120.99°, γ = 90.00°
Space group Cm (No. 8)
Unique sites:
Be 0.000 0.209 0.000 (multiplicity 4)
Fe 0.300 0.500 0.301 (multiplicity 2)
H 0.091 0.000 0.595 (multiplicity 2)
H 0.239 0.500 0.740 (multiplicity 2)
H 0.317 0.222 0.318 (multiplicity 4)
H 0.498 0.000 0.000 (multiplicity 2)